No. 1
This record from Alexandria via LeMat-Bulk describes a crystal of SbTe2CS relaxed with PBEsol. The functional is meta-GGA SCAN.

a b c (Å): 5.057 5.184 5.184
angles (deg): 90.00 90.00 90.00
Last column: magnetic moment on the atom in μB.
Atoms (fractional coordinates):
Sb (0.500, 0.000, 0.000)  -0.07
S (0.000, 0.000, 0.000)  -0.04
Te (0.000, 0.000, 0.500)  -0.10
Te (0.000, 0.500, 0.000)  -0.10
C (0.500, 0.500, 0.500)  0.85

---

No. 2
This record from Alexandria via LeMat-Bulk describes a crystal of Sc3CS relaxed with PBEsol. The functional is meta-GGA SCAN.

a b c (Å): 4.381 4.381 4.381
angles (deg): 90.00 90.00 90.00
Atoms (fractional coordinates):
Sc (0.000, 0.500, 0.000)
Sc (0.000, 0.000, 0.500)
Sc (0.500, 0.000, 0.000)
S (0.500, 0.500, 0.500)
C (0.000, 0.000, 0.000)

---

No. 3
This record from Alexandria via LeMat-Bulk describes a crystal of Sc2C2S relaxed with PBEsol. The functional is meta-GGA SCAN.

a b c (Å): 3.204 3.204 6.757
angles (deg): 103.71 103.71 90.00
Atoms (fractional coordinates):
Sc (0.372, 0.372, 0.745)
Sc (0.628, 0.628, 0.255)
S (0.000, 0.000, 0.000)
C (0.250, 0.750, 0.500)
C (0.750, 0.250, 0.500)

---

Number 1: ΔE_f (raw) 1.93 eV per atom, DOS(E_F) 6.51 states/eV per cell. Number 2: ΔE_f (raw) -0.66 eV per atom, DOS(E_F) 3.88 states/eV per cell. Number 3: ΔE_f (raw) -0.29 eV per atom, DOS(E_F) 0.48 states/eV per cell.